Entry 1:
A plane-wave DFT calculation with PBE-GGA was carried out for Y2BeP after structural relaxation.

abc: 4.851 4.851 4.851
angles: 60.00 60.00 60.00
Positions (direct):
Y 0.000 0.000 0.000
Y 0.250 0.250 0.250
Be 0.500 0.500 0.500
P 0.750 0.750 0.750

Properties
ΔH_f (0 K)   0.3687 eV per atom
Energy above the most stable polymorph in this dataset   0.9552 eV per atom
Space-group type   F-43m, No. 216
Fermi-level density of states   4.189 states/eV/cell
Calculated volume   20.18 A^3/atom
Uncorrected energy   -5.147 eV per atom
Calculated density   4.48 g/cm3



Entry 2:
A plane-wave DFT calculation with PBE-GGA was carried out for Y2BeP after structural relaxation.

abc: 3.540 3.539 7.358
angles: 61.28 90.00 90.00
Positions (direct):
Y 0.000 0.494 0.506
Y 0.000 0.006 0.994
P 0.500 0.750 0.750
Be 0.500 0.250 0.250

Properties
ΔH_f (0 K)   -0.5153 eV per atom
Energy above the most stable polymorph in this dataset   0.0712 eV per atom
Space-group type   P4/mmm, No. 123
Fermi-level density of states   1.768 states/eV/cell
Calculated volume   20.21 A^3/atom
Uncorrected energy   -6.031 eV per atom
Calculated density   4.47 g/cm3



Entry 3:
A plane-wave DFT calculation with PBE-GGA was carried out for YBeP3 after structural relaxation.

abc: 5.216 5.216 5.216
angles: 90.00 90.00 90.00
Positions (direct):
Be 0.500 0.500 0.500
P 0.000 0.500 0.000
P 0.000 0.000 0.500
P 0.500 0.000 0.000
Y 0.000 0.000 0.000

Properties
ΔH_f (0 K)   1.2001 eV per atom
Energy above the most stable polymorph in this dataset   1.2915 eV per atom
Space-group type   Pm-3m, No. 221
Fermi-level density of states   3.635 states/eV/cell
Calculated volume   28.39 A^3/atom
Uncorrected energy   -4.084 eV per atom
Calculated density   2.23 g/cm3



Entry 4:
A plane-wave DFT calculation with PBE-GGA was carried out for YBeP3 after structural relaxation.

abc: 4.397 4.397 4.397
angles: 90.00 90.00 90.00
Positions (direct):
P 0.000 0.000 0.500
P 0.500 0.000 0.000
P 0.000 0.500 0.000
Be 0.000 0.000 0.000
Y 0.500 0.500 0.500

Properties
ΔH_f (0 K)   -0.0913 eV per atom
Energy above the most stable polymorph in this dataset   0.0000 eV per atom
Space-group type   Pm-3m, No. 221
Fermi-level density of states   3.287 states/eV/cell
Calculated volume   17.01 A^3/atom
Uncorrected energy   -5.375 eV per atom
Calculated density   3.73 g/cm3



Entry 5:
A plane-wave DFT calculation with PBE-GGA was carried out for Y2BeP after structural relaxation.

abc: 3.455 3.455 7.859
angles: 90.00 90.00 110.75
Positions (direct):
Be 0.000 0.000 0.570
P 0.500 0.500 0.686
Y 0.000 0.000 0.935
Y 0.500 0.500 0.310

Properties
ΔH_f (0 K)   -0.2771 eV per atom
Energy above the most stable polymorph in this dataset   0.3094 eV per atom
Space-group type   Cmm2, No. 35
Fermi-level density of states   3.106 states/eV/cell
Calculated volume   21.93 A^3/atom
Uncorrected energy   -5.793 eV per atom
Calculated density   4.12 g/cm3



Entry 6:
A plane-wave DFT calculation with PBE-GGA was carried out for Y4BeP after structural relaxation.

abc: 6.102 6.102 6.102
angles: 60.00 60.00 60.00
Positions (direct):
P 0.000 0.000 0.000
Be 0.750 0.750 0.750
Y 0.375 0.375 0.875
Y 0.875 0.375 0.375
Y 0.375 0.375 0.375
Y 0.375 0.875 0.375

Properties
ΔH_f (0 K)   0.7634 eV per atom
Space-group type   F-43m, No. 216
Fermi-level density of states   8.297 states/eV/cell
Calculated volume   26.77 A^3/atom
Uncorrected energy   -5.069 eV per atom
Calculated density   4.09 g/cm3



Entry 7:
A plane-wave DFT calculation with PBE-GGA was carried out for YBe2P2 after structural relaxation.

abc: 3.536 3.536 6.448
angles: 74.09 74.09 90.00
Positions (direct):
Y 0.000 0.000 0.000
P 0.363 0.363 0.275
P 0.637 0.637 0.725
Be 0.250 0.750 0.500
Be 0.750 0.250 0.500

Properties
ΔH_f (0 K)   -0.6567 eV per atom
Space-group type   I4/mmm, No. 139
Fermi-level density of states   1.638 states/eV/cell
Calculated volume   14.86 A^3/atom
Uncorrected energy   -5.604 eV per atom
Calculated density   3.77 g/cm3



Entry 8:
A plane-wave DFT calculation with PBE-GGA was carried out for Y2BeP2 after structural relaxation.

abc: 5.533 5.533 5.520
angles: 59.92 59.92 90.00
Each line ends with the local moment (μB).
Positions (direct):
P 0.735 0.735 0.530  0.01
P 0.265 0.265 0.470  0.01
Y 0.750 0.250 0.500  0.24
Y 0.250 0.750 0.500  0.24
Be 0.000 0.000 0.000  0.05

Properties
ΔH_f (0 K)   -0.6751 eV per atom
Energy above the most stable polymorph in this dataset   0.1864 eV per atom
Space-group type   I4/mmm, No. 139
Fermi-level density of states   2.083 states/eV/cell
Calculated volume   23.84 A^3/atom
Uncorrected energy   -6.170 eV per atom
Calculated density   3.46 g/cm3



Among the records above, which one has the highest Fermi-level density of states? Y4BeP